(1)
Entry from the Alexandria database: a relaxed TlAg2Se crystal (PBE-GGA).

a b c (Å): 5.0474 5.0474 5.0474
angles (deg): 60.00 60.00 60.00
With the nearest neighbours (Å) after each atom.
Fractional coordinates of all 4 atoms:
1 Tl 0.0000 0.0000 0.0000  4 Se 3.09, 4 Ag 3.09
2 Ag 0.2500 0.2500 0.2500  4 Tl 3.09, 4 Ag 3.09
3 Ag 0.5000 0.5000 0.5000  4 Se 3.09, 4 Ag 3.09
4 Se 0.7500 0.7500 0.7500  4 Ag 3.09, 4 Tl 3.09

The crystal system is cubic. As for the space group: F-43m, No. 216.

=====

(2)
Entry from the Alexandria database: a relaxed Tl2AgSe crystal (PBE-GGA).

a b c (Å): 4.8601 4.8601 4.4994
angles (deg): 90.18 90.18 81.73
With the nearest neighbours (Å) after each atom.
Fractional coordinates of all 4 atoms:
1 Tl 0.0000 0.5000 0.0000  2 Tl 3.18, 4 Se 3.31-3.32, 4 Ag 3.31-3.32
2 Tl 0.5000 0.0000 0.0000  2 Tl 3.18, 4 Se 3.31-3.32, 4 Ag 3.31-3.32
3 Ag 0.0000 0.0000 0.5000  2 Se 3.18, 8 Tl 3.31-3.32
4 Se 0.5000 0.5000 0.5000  2 Ag 3.18, 8 Tl 3.31-3.32

The offset from the most stable computed form comes out at 0.38 eV per formula unit. The crystal system is monoclinic. As for the space group: C2/m, No. 12.

=====

(3)
Entry from the Alexandria database: a relaxed Tm2TlAgSe4 crystal (PBE-GGA).

a b c (Å): 7.2543 7.2543 14.8322
angles (deg): 90.00 90.00 146.90
With the nearest neighbours (Å) after each atom.
Fractional coordinates of all 16 atoms:
1 Tm 0.1297 0.8703 0.5689  6 Se 2.83-2.93
2 Tm 0.1297 0.8703 0.9311  6 Se 2.83-2.93
3 Tm 0.8703 0.1297 0.0689  6 Se 2.83-2.93
4 Tm 0.8703 0.1297 0.4311  6 Se 2.83-2.93
5 Tl 0.3760 0.6240 0.7500  6 Se 3.20-3.41, 2 Ag 3.56
6 Tl 0.6240 0.3760 0.2500  6 Se 3.20-3.41, 2 Ag 3.56
7 Ag 0.3324 0.6676 0.2500  4 Se 2.62
8 Ag 0.6676 0.3324 0.7500  4 Se 2.62
9 Se 0.0513 0.9487 0.7500  2 Ag 2.62, 2 Tm 2.90
10 Se 0.2350 0.7650 0.0991  1 Ag 2.62, 3 Tm 2.83-2.89
11 Se 0.2350 0.7650 0.4009  1 Ag 2.62, 3 Tm 2.83-2.89
12 Se 0.5000 0.5000 0.0000  4 Tm 2.93
13 Se 0.5000 0.5000 0.5000  4 Tm 2.93
14 Se 0.7650 0.2350 0.5991  1 Ag 2.62, 3 Tm 2.83-2.89
15 Se 0.7650 0.2350 0.9009  1 Ag 2.62, 3 Tm 2.83-2.89
16 Se 0.9487 0.0513 0.2500  2 Ag 2.62, 2 Tm 2.90

The crystal system is orthorhombic. As for the space group: Cmcm, No. 63.

=====

(4)
Entry from the Alexandria database: a relaxed Tm2Tl3AgSe6 crystal (PBE-GGA).

a b c (Å): 7.1751 7.1751 7.7136
angles (deg): 98.81 98.81 119.94
With the nearest neighbours (Å) after each atom.
Fractional coordinates of all 12 atoms:
1 Tm 0.1662 0.8338 0.0000  6 Se 2.84-2.85
2 Tm 0.8338 0.1662 0.0000  6 Se 2.84-2.85
3 Tl 0.0000 0.0000 0.5000  6 Se 3.12-3.21
4 Tl 0.3260 0.6740 0.5000  6 Se 3.14-3.25
5 Tl 0.6740 0.3260 0.5000  6 Se 3.14-3.25
6 Ag 0.5000 0.5000 0.0000  6 Se 2.86-2.92
7 Se 0.0955 0.4307 0.7903  2 Tm 2.84, 1 Ag 2.86, 1 Tl 3.14
8 Se 0.2316 0.2316 0.2181  2 Tm 2.85, 1 Ag 2.92, 1 Tl 3.12
9 Se 0.4307 0.0955 0.7903  2 Tm 2.84, 1 Ag 2.86, 1 Tl 3.14
10 Se 0.5693 0.9045 0.2097  2 Tm 2.84, 1 Ag 2.86, 1 Tl 3.14
11 Se 0.7684 0.7684 0.7819  2 Tm 2.85, 1 Ag 2.92, 1 Tl 3.12
12 Se 0.9045 0.5693 0.2097  2 Tm 2.84, 1 Ag 2.86, 1 Tl 3.14

The crystal system is monoclinic. As for the space group: C2/m, No. 12.

=====

What are the E_form (uncorrected) values for these records? In order: 150.3, -33.1, -1246.5, -908.6 meV/atom.
What are the electronic total energy values for these records? In order: -10.95, -11.20, -76.14, -50.70 eV for the cell shown.